First-principles (GGA-PBE) data for a geometry-optimized CsYAgO3 structure, as listed in Alexandria via LeMat-Bulk.

Computed properties:
Fermi-level density of states: 0.475 states/eV per atom
Formation energy without anion corrections: -1.669 eV/atom
Total energy: -5.843 eV/atom
M_tot: 1.284 μB/cell

Structure (POSCAR):
```
CsYAgO3
1.0
3.621 0.000 0.000
0.000 7.409 -0.014
0.000 -3.713 9.378
Ag O Cs Y
2 6 2 2
Direct
0.250 0.137 0.579
0.750 0.863 0.421
0.250 0.712 0.388
0.250 0.549 0.900
0.250 0.120 0.804
0.750 0.288 0.612
0.750 0.451 0.100
0.750 0.880 0.196
0.750 0.751 0.744
0.250 0.249 0.256
0.750 0.335 0.865
0.250 0.665 0.135
```

First-principles (GGA-PBE) data for a geometry-optimized CsZnAgO2 structure, as listed in Alexandria via LeMat-Bulk.

Computed properties:
Formation energy without anion corrections: -0.984 eV/atom
Total energy: -3.963 eV/atom
M_tot: 0.000 μB/cell

Structure (POSCAR):
```
CsZnAgO2
1.0
-3.735 4.039 -1.276
-4.038 -2.862 2.761
3.497 4.479 3.940
O Zn Cs Ag
4 2 2 2
Direct
0.675 0.914 0.828
0.325 0.414 0.828
0.675 0.586 0.172
0.325 0.086 0.172
0.500 0.250 0.000
0.500 0.750 0.000
0.270 0.750 0.500
0.730 0.250 0.500
0.000 0.000 0.000
0.000 0.500 0.000
```

First-principles (GGA-PBE) data for a geometry-optimized Cs2ZnAgO2 structure, as listed in Alexandria via LeMat-Bulk.

Computed properties:
Fermi-level density of states: 0.475 states/eV per atom
Formation energy without anion corrections: -0.847 eV/atom
Total energy: -3.472 eV/atom
M_tot: 0.000 μB/cell

Structure (POSCAR):
```
Cs2ZnAgO2
1.0
-4.119 -3.865 1.494
-1.869 -1.361 -8.674
5.525 -4.293 4.128
Cs O Zn Ag
4 4 2 2
Direct
0.704 0.535 0.359
0.204 0.465 0.641
0.204 0.824 0.359
0.704 0.176 0.641
0.204 0.433 0.262
0.704 0.829 0.262
0.704 0.567 0.738
0.204 0.171 0.738
0.204 0.275 0.000
0.704 0.725 0.000
0.954 0.000 0.000
0.454 0.000 0.000
```

First-principles (GGA-PBE) data for a geometry-optimized Cs2ZrAgO4 structure, as listed in Alexandria via LeMat-Bulk.

Computed properties:
Fermi-level density of states: 0.552 states/eV per atom
Formation energy without anion corrections: -1.581 eV/atom
Total energy: -5.698 eV/atom
M_tot: 2.108 μB/cell

Structure (POSCAR):
```
Cs2ZrAgO4
1.0
-1.791 -4.076 -3.591
5.146 -4.778 -1.699
-3.908 -8.375 6.899
O Cs Ag Zr
8 4 2 2
Direct
0.580 0.321 0.593
0.923 0.821 0.907
0.100 0.321 0.407
0.494 0.679 0.407
0.827 0.679 0.593
0.170 0.179 0.907
0.650 0.179 0.093
0.256 0.821 0.093
0.178 0.000 0.643
0.572 0.500 0.857
0.928 0.500 0.143
0.822 0.000 0.357
0.250 0.500 0.500
0.500 0.000 0.000
0.750 0.500 0.500
0.000 0.000 0.000
```

First-principles (GGA-PBE) data for a geometry-optimized Cs2Zr3AgO8 structure, as listed in Alexandria via LeMat-Bulk.

Computed properties:
Fermi-level density of states: 0.256 states/eV per atom
Formation energy without anion corrections: -2.395 eV/atom
Total energy: -7.386 eV/atom
M_tot: 1.049 μB/cell

Structure (POSCAR):
```
Cs2Zr3AgO8
1.0
6.618 0.000 0.000
3.309 5.732 0.000
3.309 1.911 7.295
Cs O Zr Ag
2 8 3 1
Direct
0.137 0.137 0.588
0.492 0.492 0.524
0.219 0.679 0.883
0.219 0.219 0.883
0.275 0.275 0.176
0.310 0.753 0.184
0.753 0.753 0.184
0.679 0.219 0.883
0.706 0.706 0.882
0.753 0.310 0.184
0.491 0.491 0.029
0.990 0.491 0.029
0.491 0.990 0.029
0.978 0.978 0.067
```

First-principles (GGA-PBE) data for a geometry-optimized CsAgOs2 structure, as listed in Alexandria via LeMat-Bulk.

Computed properties:
Fermi-level density of states: 0.725 states/eV per atom
E_form: 1559.0 meV/atom
Total energy: -4.982 eV/atom
M_tot: 0.000 μB/cell

Structure (POSCAR):
```
CsAgOs2
1.0
4.375 0.000 0.000
0.000 4.375 0.000
2.187 2.187 10.398
Os Cs Ag
4 2 2
Direct
0.375 0.743 0.750
0.257 0.125 0.250
0.493 0.625 0.250
0.875 0.507 0.750
0.750 0.250 0.500
0.000 0.000 0.000
0.500 0.500 0.000
0.250 0.750 0.500
```

Going through the records in order, we get calculated density values of 4990 5563 4406 4143 4652 10368 kg/m3.